Density functional theory data (PBE-GGA) for a relaxed structure of HgPd7.

a = 2.8091 Å, b = 2.8091 Å, c = 42.7474 Å
α = 90.00°, β = 90.00°, γ = 90.00°
With the nearest neighbours (Å) after each atom.
Space group P4/nmm (No. 129, origin choice 2)
Asymmetric unit:
Hg 0.2500 0.2500 0.1547 x2  4 Hg 2.81, 4 Pd 2.93
Pd 0.2500 0.2500 0.2514 x2  12 Pd 2.78-2.81
Pd 0.2500 0.2500 0.3422 x2  12 Pd 2.77-2.81
Pd 0.2500 0.2500 0.4324 x2  12 Pd 2.77-2.81
Pd 0.2500 0.2500 0.5226 x2  12 Pd 2.77-2.81
Pd 0.2500 0.2500 0.6128 x2  12 Pd 2.77-2.81
Pd 0.2500 0.2500 0.7031 x2  12 Pd 2.77-2.81
Pd 0.2500 0.2500 0.7950 x2  8 Pd 2.81, 4 Hg 2.93

The total energy is -4.54 eV per atom.